No. 1
This record from the Alexandria database describes a geometry-optimized Zn3FeAu structure. The functional is PBE.

Computed properties:
- Excess energy over the best structure of this formula in the dataset: 0 meV per atom
- ΔE_f: 0.619 eV/atom

abc: 4.5996 4.5996 4.5996
angles: 90.00 90.00 90.00
Last column: nearest neighbours and their distance in Å.
Space group Pm-3m (No. 221)
Symmetry-distinct sites (fractional):
1 Zn 0.0000 0.0000 0.5000 (multiplicity 3)  2 Fe 2.30
2 Fe 0.0000 0.0000 0.0000 (multiplicity 1)  6 Zn 2.30
3 Au 0.5000 0.5000 0.5000 (multiplicity 1)  12 Zn 3.25

=====

No. 2
This record from the Alexandria database describes a geometry-optimized HgAuOF2 structure. The functional is PBE.

Computed properties:
- Excess energy over the best structure of this formula in the dataset: 0 meV per atom
- Formation energy without anion corrections: -0.683 eV per atom

abc: 3.1664 13.8389 6.9266
angles: 90.00 90.00 90.00
Last column: nearest neighbours and their distance in Å.
Space group Cmcm (No. 63)
Symmetry-distinct sites (fractional):
1 Hg 0.0000 0.2280 0.2500 (multiplicity 4)  6 F 2.27-2.47
2 Au 0.0000 0.5000 0.0000 (multiplicity 4)  2 O 1.98
3 O 0.0000 0.4304 0.7500 (multiplicity 4)  2 Au 1.98
4 F 0.0000 0.1734 0.5598 (multiplicity 8)  3 Hg 2.27-2.47

=====

No. 3
This record from the Alexandria database describes a geometry-optimized HfZr5Rh6 structure. The functional is PBE.

Computed properties:
- ΔE_f: -0.780 eV/atom

abc: 14.6685 6.5393 4.6600
angles: 90.00 105.96 90.00
Last column: nearest neighbours and their distance in Å.
Space group C2/m (No. 12)
Symmetry-distinct sites (fractional):
1 Hf 0.0000 0.0000 0.0000 (multiplicity 2)  8 Rh 2.75-2.83
2 Zr 0.0000 0.5000 0.0000 (multiplicity 2)  8 Rh 2.78-2.86
3 Zr 0.1681 0.5000 0.6563 (multiplicity 4)  8 Rh 2.81-2.95, 1 Zr 3.11
4 Zr 0.1693 0.0000 0.6548 (multiplicity 4)  8 Rh 2.80-2.96, 1 Zr 3.11
5 Rh 0.0000 0.2452 0.5000 (multiplicity 4)  2 Hf 2.83, 6 Zr 2.86-2.90
6 Rh 0.1581 0.2469 0.1343 (multiplicity 8)  1 Hf 2.75, 7 Zr 2.78-2.96

=====

No. 4
This record from the Alexandria database describes a geometry-optimized CrTe2RhI structure. The functional is PBE.

Computed properties:
- Excess energy over the best structure of this formula in the dataset: 0 meV per atom
- Formation energy without anion corrections: 0.946 eV per atom

abc: 4.9154 4.9154 5.5144
angles: 90.00 90.00 90.00
Last column: nearest neighbours and their distance in Å.
Space group P4/mmm (No. 123)
Symmetry-distinct sites (fractional):
1 Cr 0.0000 0.0000 0.0000 (multiplicity 1)  4 Te 2.46
2 Te 0.0000 0.5000 0.0000 (multiplicity 2)  2 Cr 2.46
3 Rh 0.5000 0.5000 0.5000 (multiplicity 1)  4 I 3.48, 8 Te 3.69
4 I 0.0000 0.0000 0.5000 (multiplicity 1)  2 Cr 2.76

=====

No. 5
This record from the Alexandria database describes a geometry-optimized Sc2BeTe structure. The functional is PBE.

Computed properties:
- Excess energy over the best structure of this formula in the dataset: 329 meV per atom
- Formation energy without anion corrections: -0.150 eV per atom

abc: 7.3446 7.3446 6.3125
angles: 90.00 90.00 90.00
Last column: nearest neighbours and their distance in Å.
Space group I-42d (No. 122)
Symmetry-distinct sites (fractional):
1 Sc 0.2173 0.2500 0.1250 (multiplicity 8)  2 Be 2.56
2 Be 0.0000 0.0000 0.0000 (multiplicity 4)  4 Sc 2.56
3 Te 0.0000 0.0000 0.5000 (multiplicity 4)  4 Sc 2.88, 2 Be 3.16

=====

No. 6
This record from the Alexandria database describes a geometry-optimized AlIn2OsPb structure. The functional is PBE.

Computed properties:
- ΔE_f: 1.424 eV/atom

abc: 5.1179 5.1179 5.3091
angles: 90.00 90.00 90.00
Last column: nearest neighbours and their distance in Å.
Space group P4/mmm (No. 123)
Symmetry-distinct sites (fractional):
1 Al 0.0000 0.0000 0.0000 (multiplicity 1)  4 In 2.56, 2 Pb 2.65
2 In 0.0000 0.5000 0.0000 (multiplicity 2)  2 Al 2.56
3 Os 0.5000 0.5000 0.5000 (multiplicity 1)  4 Pb 3.62, 8 In 3.69
4 Pb 0.0000 0.0000 0.5000 (multiplicity 1)  2 Al 2.65

=====

No. 7
This record from the Alexandria database describes a geometry-optimized PmTeF structure. The functional is PBE.

Computed properties:
- Excess energy over the best structure of this formula in the dataset: 549 meV per atom
- Formation energy without anion corrections: -2.071 eV per atom

abc: 3.5868 3.5868 10.6831
angles: 90.00 90.00 90.00
Last column: nearest neighbours and their distance in Å.
Space group I4mm (No. 107)
Symmetry-distinct sites (fractional):
1 Pm 0.0000 0.0000 0.0000 (multiplicity 2)  4 F 2.66
2 Te 0.0000 0.0000 0.3064 (multiplicity 2)  1 F 2.89
3 F 0.0000 0.0000 0.5766 (multiplicity 2)  4 Pm 2.66, 1 Te 2.89

=====

No. 8
This record from the Alexandria database describes a geometry-optimized YSbBr2 structure. The functional is PBE.

Computed properties:
- Excess energy over the best structure of this formula in the dataset: 0 meV per atom
- Formation energy without anion corrections: -1.047 eV per atom

abc: 12.1234 3.5985 7.6633
angles: 90.00 114.89 90.00
Last column: nearest neighbours and their distance in Å.
Space group Cm (No. 8)
Symmetry-distinct sites (fractional):
1 Y 0.0000 0.0000 0.0000 (multiplicity 2)  4 Br 2.81
2 Sb 0.2232 0.5000 0.9998 (multiplicity 2)  3 Y 3.25-3.35, 2 Sb 3.60
3 Br 0.0293 0.5000 0.2985 (multiplicity 2)  2 Y 2.81
4 Br 0.3704 0.0000 0.7017 (multiplicity 2)  2 Y 2.81

=====

Number 1: DOS(E_F) 4.06 states/eV per cell. Number 2: DOS(E_F) 7.32 states/eV per cell. Number 3: DOS(E_F) 18.27 states/eV per cell. Number 4: DOS(E_F) 8.24 states/eV per cell. Number 5: DOS(E_F) 11.49 states/eV per cell. Number 6: DOS(E_F) 5.50 states/eV per cell. Number 7: DOS(E_F) 2.39 states/eV per cell. Number 8: DOS(E_F) 2.88 states/eV per cell.